! PBE with a Hubbard U Cs2HoCr3F12, relaxed; values from VASP
! **DFT total energy**: -5.87 eV/atom
! **Space-group type**: R-3m (166)
&SYSTEM
  ibrav = 0, nat = 18, ntyp = 4
/
ATOMIC_SPECIES
Cs 132.91 Cs.upf
Ho 164.93 Ho.upf
Cr 52.00 Cr.upf
F 19.00 F.upf
CELL_PARAMETERS angstrom
0.121 -7.904 -0.495
2.294 -3.854 -6.528
6.722 -4.171 -0.379
ATOMIC_POSITIONS crystal
Cs 0.615 0.615 0.615
Cs 0.385 0.385 0.385
Ho 0.000 0.000 0.000
Cr 0.500 0.000 0.000
Cr 0.000 0.500 0.000
Cr 0.000 0.000 0.500
F 0.309 0.309 0.921
F 0.919 0.919 0.339
F 0.339 0.919 0.919
F 0.921 0.309 0.309
F 0.919 0.339 0.919
F 0.309 0.921 0.309
F 0.691 0.691 0.079
F 0.081 0.081 0.661
F 0.661 0.081 0.081
F 0.079 0.691 0.691
F 0.081 0.661 0.081
F 0.691 0.079 0.691